# SnSb3Ru, relaxed, DFT PBE
data_SnSb3Ru
_symmetry_space_group_name_H-M 'P 1'
_symmetry_Int_Tables_number 1
_cell_length_a 5.548
_cell_length_b 5.548
_cell_length_c 5.548
_cell_angle_alpha 90.00
_cell_angle_beta 90.00
_cell_angle_gamma 90.00
loop_
_symmetry_equiv_pos_as_xyz
'x,y,z'
loop_
_atom_site_label
_atom_site_type_symbol
_atom_site_fract_x
_atom_site_fract_y
_atom_site_fract_z
Sb1 Sb 0.000 0.500 0.000
Sb2 Sb 0.000 0.000 0.500
Sb3 Sb 0.500 0.000 0.000
Sn1 Sn 0.000 0.000 0.000
Ru1 Ru 0.500 0.500 0.500
# **Formation energy (no corrections)**: 1583.7 meV per atom
# **M_tot**: 2.12 μB/f.u.
# **Polymorph energy (0 for the lowest one)**: 1.205 eV per atom
# **Calculated volume**: 171 Å³ per cell